(1)
First-principles (PBE-GGA) data for a relaxed Cr2Ga2Ru crystal, as listed in Alexandria.

Lattice parameters (Å, degrees): 6.747 6.747 3.053 90.00 90.00 90.00
Sites, in units of the cell vectors:
Ga  0.192  0.692  0.500
Ga  0.308  0.192  0.500
Ga  0.808  0.308  0.500
Ga  0.692  0.808  0.500
Cr  0.604  0.104  0.000
Cr  0.396  0.896  0.000
Cr  0.896  0.604  0.000
Cr  0.104  0.396  0.000
Ru  0.500  0.500  0.000
Ru  0.000  0.000  0.000

Computed properties:
- ΔE_f: 0.280 eV per atom

---

(2)
First-principles (PBE-GGA) data for a relaxed CrGaRu3 crystal, as listed in Alexandria.

Lattice parameters (Å, degrees): 4.426 4.426 4.426 90.00 90.00 90.00
Each line ends with the local moment (μB).
Sites, in units of the cell vectors:
Ga  0.000  0.000  0.000  -0.01
Ru  0.000  0.500  0.000  -0.07
Ru  0.500  0.000  0.000  -0.04
Ru  0.000  0.000  0.500  -0.06
Cr  0.500  0.500  0.500  0.14

Computed properties:
- ΔE_f: 1.604 eV per atom

---

(3)
First-principles (PBE-GGA) data for a relaxed CrGa2Ru2 crystal, as listed in Alexandria.

Lattice parameters (Å, degrees): 6.929 6.929 3.128 90.00 90.00 90.00
Each line ends with the local moment (μB).
Sites, in units of the cell vectors:
Ru  0.359  0.859  0.000  -0.21
Ru  0.641  0.141  0.000  -0.21
Ru  0.859  0.641  0.000  -0.17
Ru  0.141  0.359  0.000  -0.17
Ga  0.342  0.158  0.500  -0.01
Ga  0.158  0.658  0.500  -0.02
Ga  0.658  0.842  0.500  -0.01
Ga  0.842  0.342  0.500  -0.02
Cr  0.500  0.500  0.000  3.13
Cr  0.000  0.000  0.000  3.15

Computed properties:
- ΔE_f: 0.017 eV per atom

---

(4)
First-principles (PBE-GGA) data for a relaxed Cr3GaRu crystal, as listed in Alexandria.

Lattice parameters (Å, degrees): 4.655 4.655 4.655 90.00 90.00 90.00
Each line ends with the local moment (μB).
Sites, in units of the cell vectors:
Ga  0.500  0.500  0.500  -0.05
Ru  0.000  0.000  0.000  -0.52
Cr  0.500  0.000  0.000  3.37
Cr  0.000  0.500  0.000  3.00
Cr  0.000  0.000  0.500  2.66

Computed properties:
- ΔE_f: 1.209 eV per atom

---

(5)
First-principles (PBE-GGA) data for a relaxed CrGa3Ru4 crystal, as listed in Alexandria.

Lattice parameters (Å, degrees): 4.257 4.257 6.754 108.37 108.37 90.00
Each line ends with the local moment (μB).
Sites, in units of the cell vectors:
Cr  0.500  0.000  0.000  1.53
Ru  0.125  0.125  0.250  -0.13
Ru  0.375  0.375  0.750  -0.13
Ru  0.875  0.875  0.750  -0.13
Ru  0.625  0.625  0.250  -0.13
Ga  0.749  0.249  0.498  0.00
Ga  0.251  0.751  0.502  0.00
Ga  0.000  0.500  0.000  -0.01

Computed properties:
- ΔE_f: -0.247 eV per atom

---

(6)
First-principles (PBE-GGA) data for a relaxed Cr2Ga2Ru crystal, as listed in Alexandria.

Lattice parameters (Å, degrees): 3.459 3.459 6.641 74.91 74.91 90.00
Each line ends with the local moment (μB).
Sites, in units of the cell vectors:
Cr  0.586  0.586  0.828  0.43
Cr  0.414  0.414  0.172  0.43
Ga  0.250  0.750  0.500  0.02
Ga  0.750  0.250  0.500  0.02
Ru  0.000  0.000  0.000  0.72

Computed properties:
- ΔE_f: 0.595 eV per atom